A plane-wave DFT calculation with PBE was carried out for an optimized crystal structure of Y8Fe.

Results
- total DFT energy (no corrections) (eV/atom) = -6.507
- E_form (meV per atom) = 180
- theoretical density (g/cm³) = 4.78
- total moment (μB per formula unit) = 2.14

a = 7.7941 Å, b = 7.7941 Å, c = 7.7941 Å
α = 95.59°, β = 95.59°, γ = 143.63°
Element x y z (fractional)
Y  0.0000  0.3264  0.3264
Y  0.0000  0.6736  0.6736
Y  0.3264  0.0000  0.3264
Y  0.3425  0.3425  0.6850
Y  0.3425  0.6575  0.0000
Y  0.6575  0.3425  0.0000
Y  0.6575  0.6575  0.3150
Y  0.6736  0.0000  0.6736
Fe  0.0000  0.0000  0.0000

---

A plane-wave DFT calculation with PBE was carried out for an optimized crystal structure of Y3Fe5.

Results
- total DFT energy (no corrections) (eV/atom) = -7.421
- E_form (meV per atom) = 292
- theoretical density (g/cm³) = 6.42
- total moment (μB per formula unit) = 9.22

a = 5.7422 Å, b = 5.7422 Å, c = 4.5880 Å
α = 90.00°, β = 90.00°, γ = 111.10°
Element x y z (fractional)
Y  0.0000  0.0000  0.0000
Y  0.2466  0.7534  0.5000
Y  0.7534  0.2466  0.5000
Fe  0.0000  0.5000  0.0000
Fe  0.3076  0.3076  0.5000
Fe  0.5000  0.0000  0.0000
Fe  0.5000  0.5000  0.0000
Fe  0.6924  0.6924  0.5000

---

A plane-wave DFT calculation with PBE was carried out for an optimized crystal structure of Y2Fe.

Results
- total DFT energy (no corrections) (eV/atom) = -6.810
- E_form (meV per atom) = 320
- theoretical density (g/cm³) = 5.48
- total moment (μB per formula unit) = 0.68

a = 4.5851 Å, b = 4.5851 Å, c = 3.8884 Å
α = 90.00°, β = 90.00°, γ = 120.00°
Element x y z (fractional)
Y  0.3333  0.6667  0.2597
Y  0.6667  0.3333  0.7403
Fe  0.0000  0.0000  0.0000

---

A plane-wave DFT calculation with PBE was carried out for an optimized crystal structure of Y3Fe4.

Results
- total DFT energy (no corrections) (eV/atom) = -6.855
- E_form (meV per atom) = 752
- theoretical density (g/cm³) = 5.42
- total moment (μB per formula unit) = 8.27

a = 6.2651 Å, b = 6.2651 Å, c = 4.4160 Å
α = 90.00°, β = 90.00°, γ = 120.00°
Element x y z (fractional)
Y  0.0000  0.5000  0.0000
Y  0.5000  0.0000  0.0000
Y  0.5000  0.5000  0.0000
Fe  0.0000  0.0000  0.2473
Fe  0.0000  0.0000  0.7527
Fe  0.3333  0.6667  0.5000
Fe  0.6667  0.3333  0.5000

---

A plane-wave DFT calculation with PBE was carried out for an optimized crystal structure of Y3Fe.

Results
- total DFT energy (no corrections) (eV/atom) = -6.540
- E_form (meV per atom) = 424
- theoretical density (g/cm³) = 5.01
- total moment (μB per formula unit) = 1.92

a = 5.9780 Å, b = 5.9780 Å, c = 5.9780 Å
α = 90.00°, β = 90.00°, γ = 90.00°
Element x y z (fractional)
Y  0.0000  0.2500  0.5000
Y  0.0000  0.7500  0.5000
Y  0.2500  0.5000  0.0000
Y  0.5000  0.0000  0.2500
Y  0.5000  0.0000  0.7500
Y  0.7500  0.5000  0.0000
Fe  0.0000  0.0000  0.0000
Fe  0.5000  0.5000  0.5000

---

A plane-wave DFT calculation with PBE was carried out for an optimized crystal structure of YFe3.

Results
- total DFT energy (no corrections) (eV/atom) = -7.588
- E_form (meV per atom) = 375
- theoretical density (g/cm³) = 6.67
- total moment (μB per formula unit) = 7.19

a = 5.0358 Å, b = 5.0358 Å, c = 5.0358 Å
α = 90.00°, β = 90.00°, γ = 90.00°
Element x y z (fractional)
Y  0.0000  0.0000  0.0000
Y  0.5000  0.5000  0.5000
Fe  0.0000  0.2500  0.5000
Fe  0.0000  0.7500  0.5000
Fe  0.2500  0.5000  0.0000
Fe  0.5000  0.0000  0.2500
Fe  0.5000  0.0000  0.7500
Fe  0.7500  0.5000  0.0000

---

A plane-wave DFT calculation with PBE was carried out for an optimized crystal structure of YFe3.

Results
- total DFT energy (no corrections) (eV/atom) = -7.396
- E_form (meV per atom) = 567
- theoretical density (g/cm³) = 6.62
- total moment (μB per formula unit) = 7.68

a = 8.7297 Å, b = 8.7297 Å, c = 8.7297 Å
α = 19.43°, β = 19.43°, γ = 19.43°
Element x y z (fractional)
Y  0.0000  0.0000  0.0000
Fe  0.2373  0.2373  0.2373
Fe  0.5000  0.5000  0.5000
Fe  0.7627  0.7627  0.7627

---

A plane-wave DFT calculation with PBE was carried out for an optimized crystal structure of YZn11Fe.

Results
- total DFT energy (no corrections) (eV/atom) = -2.372
- E_form (meV per atom) = -146
- theoretical density (g/cm³) = 7.11
- total moment (μB per formula unit) = 2.32

a = 6.7688 Å, b = 6.7688 Å, c = 6.7485 Å
α = 98.42°, β = 98.42°, γ = 135.00°
Element x y z (fractional)
Y  0.0000  0.0000  0.0000
Zn  0.0000  0.5000  0.0000
Zn  0.0124  0.6676  0.6434
Zn  0.2760  0.4929  0.7797
Zn  0.3324  0.9876  0.3566
Zn  0.4929  0.2760  0.7797
Zn  0.5000  0.0000  0.0000
Zn  0.5000  0.5000  0.5000
Zn  0.5071  0.7240  0.2203
Zn  0.6676  0.0124  0.6434
Zn  0.7240  0.5071  0.2203
Zn  0.9876  0.3324  0.3566
Fe  0.0000  0.0000  0.5000

---

A plane-wave DFT calculation with PBE was carried out for an optimized crystal structure of YZnFe3.

Results
- total DFT energy (no corrections) (eV/atom) = -4.835
- E_form (meV per atom) = 1790
- theoretical density (g/cm³) = 5.11
- total moment (μB per formula unit) = 6.42

a = 4.7114 Å, b = 4.7114 Å, c = 4.7114 Å
α = 90.00°, β = 90.00°, γ = 90.00°
Element x y z (fractional)
Y  0.0000  0.0000  0.0000
Zn  0.5000  0.5000  0.5000
Fe  0.0000  0.0000  0.5000
Fe  0.0000  0.5000  0.0000
Fe  0.5000  0.0000  0.0000

---

A plane-wave DFT calculation with PBE was carried out for an optimized crystal structure of YZn2Fe.

Results
- total DFT energy (no corrections) (eV/atom) = -4.304
- E_form (meV per atom) = 65
- theoretical density (g/cm³) = 6.32
- total moment (μB per formula unit) = 2.23

a = 4.0367 Å, b = 5.9652 Å, c = 5.9652 Å
α = 30.26°, β = 90.00°, γ = 90.00°
Element x y z (fractional)
Y  0.0000  0.0000  0.0000
Zn  0.0000  0.7548  0.7548
Zn  0.5000  0.6340  0.6340
Fe  0.5000  0.3367  0.3367

---

A plane-wave DFT calculation with PBE was carried out for an optimized crystal structure of YZn2Fe.

Results
- total DFT energy (no corrections) (eV/atom) = -4.322
- E_form (meV per atom) = 47
- theoretical density (g/cm³) = 6.32
- total moment (μB per formula unit) = 2.00

a = 4.1152 Å, b = 4.1152 Å, c = 4.2759 Å
α = 90.00°, β = 90.00°, γ = 90.00°
Element x y z (fractional)
Y  0.0000  0.0000  0.0000
Zn  0.0000  0.5000  0.5000
Zn  0.5000  0.0000  0.5000
Fe  0.5000  0.5000  0.0000

---

A plane-wave DFT calculation with PBE was carried out for an optimized crystal structure of YZn2Fe2.

Results
- total DFT energy (no corrections) (eV/atom) = -5.115
- E_form (meV per atom) = 73
- theoretical density (g/cm³) = 7.02
- total moment (μB per formula unit) = 4.14

a = 7.5124 Å, b = 7.5124 Å, c = 2.7778 Å
α = 90.00°, β = 90.00°, γ = 90.00°
Element x y z (fractional)
Y  0.0000  0.0000  0.0000
Y  0.5000  0.5000  0.0000
Zn  0.1762  0.3238  0.5000
Zn  0.3238  0.8238  0.5000
Zn  0.6762  0.1762  0.5000
Zn  0.8238  0.6762  0.5000
Fe  0.1134  0.6134  0.0000
Fe  0.3866  0.1134  0.0000
Fe  0.6134  0.8866  0.0000
Fe  0.8866  0.3866  0.0000

---

The lowest theoretical density belongs to which entry? Y8Fe

---

Which formula does entry 10 have? YZn2Fe